Below is NdNp2O11 after structural relaxation, with properties calculated at the PBE level.

```
NdNp2O11
1.0
10.849 0.004 5.580
4.599 7.610 4.244
2.804 1.128 7.778
Nd Np O
2 4 22
Cartesian
13.317 6.775 12.383
5.377 1.976 4.974
11.523 5.844 8.691
6.714 2.581 8.915
12.178 2.758 11.501
6.480 5.854 6.039
12.100 6.566 10.343
6.136 1.877 7.200
5.221 3.616 8.980
11.437 1.047 11.193
12.096 4.151 9.319
7.224 7.492 6.617
10.942 6.571 13.008
10.463 3.375 11.993
8.427 5.550 8.616
0.331 0.485 0.347
9.809 0.620 6.053
8.091 7.975 11.974
9.358 4.849 9.262
7.501 4.722 7.958
10.464 7.411 8.459
8.200 1.379 8.815
7.362 3.308 10.560
3.033 2.151 5.344
13.872 6.404 14.723
4.826 6.297 6.864
5.717 4.261 5.361
12.961 4.374 12.113
```

Calculated values
Space group: P1, No. 1
ΔE_f (raw) in kJ/mol of formula units: -2836
Total magnetization in μB/f.u.: 1.0

***

Below is Nd2NpO6 after structural relaxation, with properties calculated at the PBE level.

```
Nd2NpO6
1.0
-1.297 -3.355 -4.684
4.771 1.889 -2.674
4.965 -7.185 3.783
Nd Np O
4 2 12
Cartesian
5.023 -8.107 -3.019
7.631 -4.870 -2.341
0.808 -3.780 -1.234
3.416 -0.543 -0.556
1.737 -0.733 -3.679
2.483 -3.593 1.892
4.401 -3.779 -4.827
5.983 -6.078 -3.615
7.100 -8.609 -1.740
2.362 -5.633 -1.831
4.751 -7.659 -0.669
1.378 -2.769 -3.246
4.038 -4.871 1.252
2.456 -2.572 0.040
1.339 -0.042 -1.835
6.077 -3.018 -1.744
3.687 -0.991 -2.906
7.061 -5.881 -0.329
```

Calculated values
Energy above the lowest structure with this stoichiometry in meV per atom: 0.0
Space group: P2_1/c, No. 14
ΔE_f (raw) in kJ/mol of formula units: -2755
Total magnetization in μB/f.u.: 1.0

***

Below is Nd2NpO5 after structural relaxation, with properties calculated at the PBE level.

```
Nd2NpO5
1.0
3.494 0.000 0.000
0.000 6.388 0.000
0.000 0.000 10.096
Nd Np O
4 2 10
Cartesian
1.747 3.344 1.718
1.747 3.045 8.378
1.747 6.239 6.766
1.747 0.150 3.330
0.000 3.194 5.048
0.000 0.000 0.000
0.000 0.000 5.048
0.000 3.194 0.000
0.000 5.280 1.983
0.000 1.108 8.112
0.000 4.302 7.031
0.000 2.086 3.065
1.747 4.201 4.082
1.747 2.187 6.014
1.747 5.381 9.130
1.747 1.007 0.966
```

Calculated values
DOS(E_F) in states/eV/f.u.: 8.9
Space group: Pbam, No. 55
ΔE_f (raw) in kJ/mol of formula units: -2472
Total magnetization in μB/f.u.: 3.0

***

Below is Nd6NpO12 after structural relaxation, with properties calculated at the PBE level.

```
Nd6NpO12
1.0
6.728 0.000 -1.032
-1.202 6.620 -1.032
0.000 0.000 6.807
Nd Np O
6 1 12
Cartesian
3.585 5.659 1.059
3.733 2.083 0.034
0.243 4.045 1.361
1.942 0.962 3.684
1.794 4.538 4.709
5.283 2.576 3.383
0.000 0.000 0.000
4.857 3.733 1.354
1.764 5.445 2.567
3.302 2.708 4.595
0.670 2.888 3.390
3.763 1.175 2.177
2.225 3.912 0.148
-0.681 6.342 0.977
-0.559 4.639 5.565
3.596 6.157 -1.396
6.207 0.279 3.766
6.085 1.982 -0.821
1.930 0.463 6.140
```

Calculated values
Space group: R-3, No. 148
ΔE_f (raw) in kJ/mol of formula units: -6127
Total magnetization in μB/f.u.: 1.0